Below is a relaxed structure of PmHo4, with properties calculated at the PBE-GGA level.

Lattice parameters (Å, degrees): 3.5425 3.5425 12.8278 97.94 97.94 90.00
Fractional positions:
Ho 0.3981 0.3981 0.7962
Ho 0.7993 0.7993 0.5986
Ho 0.2007 0.2007 0.4014
Ho 0.6019 0.6019 0.2038
Pm 0.0000 0.0000 0.0000

Computed properties:
As for the space group: No. 139. The energy above the most stable polymorph in this dataset is 2 meV per atom. The value obtained for the density of states at the Fermi level is 6.99 states/eV per cell. For the energy relative to the elements, the calculation gives 0.11 eV/f.u.